This record from Alexandria via LeMat-Bulk describes crystalline Ca3SnS5 at its relaxed geometry. The functional is PBE.

Calculated values
Polymorph energy (0 for the lowest one): 44 meV per atom
V: 742.3 Å³/cell
Uncorrected formation energy: -12.8 eV per formula unit

Structure (POSCAR):
```
Ca3SnS5
1.0
8.1715 -4.3633 0.0000
8.1715 4.3633 0.0000
-5.2699 0.0000 10.4101
Ca Sn S
9 3 15
Cartesian
0.0000 0.0000 0.0000
0.0691 0.0000 5.9617
6.6152 2.3897 2.8200
4.6898 2.4402 6.9427
6.7763 1.9057 10.2137
6.6152 -2.3897 2.8200
4.6898 -2.4402 6.9427
11.2572 0.0000 3.7071
6.7763 -1.9057 10.2137
2.8584 0.0000 3.5682
3.1983 0.0000 10.1224
8.3192 0.0000 6.3248
-2.5018 0.0000 4.9636
3.9305 1.8943 2.6348
-2.8202 0.0000 9.1233
0.4846 0.0000 2.9636
1.7419 1.8843 10.4097
2.9140 0.0000 5.9562
7.5161 2.0412 7.3398
3.9305 -1.8943 2.6348
4.9648 0.0000 8.4006
7.9175 0.0000 3.9360
1.7419 -1.8843 10.4097
10.3301 0.0000 1.1873
10.7483 0.0000 6.5075
13.6890 0.0000 1.1047
7.5161 -2.0412 7.3398
```